(1)
# BaCrH2Pt

An optimized crystal structure of BaCrH2Pt (PBE, the Alexandria database).

Results
* volume: 93.4 Å³/cell
* space group: P4/mmm, No. 123
* energy: -4.848 eV/atom

a = 4.287 Å, b = 4.287 Å, c = 5.081 Å
α = 90.00°, β = 90.00°, γ = 90.00°
Sites, in units of the cell vectors:
Ba (0.000, 0.000, 0.000)
Cr (0.500, 0.500, 0.500)
H (0.000, 0.500, 0.500)
H (0.500, 0.000, 0.500)
Pt (0.500, 0.500, 0.000)

=====

(2)
# RbBaCrH6

An optimized crystal structure of RbBaCrH6 (PBE, the Alexandria database).

Results
* volume: 161.6 Å³/cell
* space group: Pm, No. 6
* energy: -3.748 eV/atom

a = 5.430 Å, b = 6.315 Å, c = 5.430 Å
α = 90.00°, β = 119.81°, γ = 90.00°
Sites, in units of the cell vectors:
Rb (0.000, 0.000, 0.000)
Ba (0.333, 0.500, 0.666)
Cr (0.667, 0.500, 0.332)
H (0.385, 0.330, 0.192)
H (0.385, 0.670, 0.192)
H (0.808, 0.331, 0.190)
H (0.808, 0.669, 0.190)
H (0.809, 0.330, 0.615)
H (0.809, 0.670, 0.615)